LaHfCr2Sb | PBE | relaxed

## Properties
VASP energy, eV per atom: -6.105
Fermi-level density of states, states/eV/cell: 4.59
Formation energy from raw total energies, eV per atom: 1.545
Volume, Å³ per atom: 25.6

Unit cell a=4.651 b=4.651 c=5.907 alpha=90.00 beta=90.00 gamma=90.00
Positions (direct):
1 La 0.000 0.000 0.000
2 Hf 0.500 0.500 0.500
3 Cr 0.000 0.500 0.000
4 Cr 0.500 0.000 0.000
5 Sb 0.000 0.000 0.500